A relaxed Tm4CoSe crystal. Source: the Alexandria database, functional PBE-GGA.

abc: 3.777 7.890 18.660
angles: 90.00 90.00 90.00
Fractional coordinates of all 24 atoms:
Tm (0.750, 0.858, 0.647)
Tm (0.250, 0.142, 0.353)
Tm (0.250, 0.642, 0.147)
Tm (0.750, 0.358, 0.853)
Tm (0.750, 0.858, 0.451)
Tm (0.250, 0.142, 0.549)
Tm (0.250, 0.642, 0.951)
Tm (0.750, 0.358, 0.049)
Tm (0.750, 0.005, 0.930)
Tm (0.250, 0.995, 0.070)
Tm (0.250, 0.495, 0.430)
Tm (0.750, 0.505, 0.570)
Tm (0.750, 0.961, 0.220)
Tm (0.250, 0.039, 0.780)
Tm (0.250, 0.539, 0.720)
Tm (0.750, 0.461, 0.280)
Co (0.750, 0.241, 0.450)
Co (0.250, 0.759, 0.550)
Co (0.250, 0.259, 0.950)
Co (0.750, 0.741, 0.050)
Se (0.750, 0.743, 0.811)
Se (0.250, 0.257, 0.189)
Se (0.250, 0.757, 0.311)
Se (0.750, 0.243, 0.689)

Output
space-group type: No. 62
total DFT energy (no corrections): -32.243 eV/f.u.
formation energy (no corrections): -3.77 eV/f.u.